#A
The following is a PBE calculation of AlTlFe after structural relaxation, from the Alexandria database.

Cell: 4.347 4.347 3.270 Å, 90.00 90.00 120.00°
Positions (direct):
Al  0.000  0.000  0.000
Tl  0.333  0.667  0.500
Fe  0.667  0.333  0.000

Properties
For the magnetic moment, the calculation gives 1.79 μB/f.u. The space group is P-6m2 (187).

#B
The following is a PBE calculation of AlTlFe after structural relaxation, from the Alexandria database.

Cell: 3.176 3.176 10.617 Å, 90.00 90.00 90.00°
Positions (direct):
Al  0.000  0.000  0.000
Al  0.500  0.500  0.500
Tl  0.000  0.000  0.281
Tl  0.500  0.500  0.781
Fe  0.000  0.000  0.597
Fe  0.500  0.500  0.097

Properties
For the magnetic moment, the calculation gives 1.85 μB/f.u. The space group is I4mm (107).

#B has the most favorable energy; the next structure is 0.175 eV/atom above.

#A
The following is a PBE calculation of AlTlFe3 after structural relaxation, from the Alexandria database.

Cell: 4.422 4.422 4.422 Å, 90.00 90.00 90.00°
Positions (direct):
Al  0.000  0.000  0.000
Tl  0.500  0.500  0.500
Fe  0.000  0.000  0.500
Fe  0.000  0.500  0.000
Fe  0.500  0.000  0.000

Properties
For the magnetic moment, the calculation gives 6.84 μB/f.u. The space group is Pm-3m (221).

#B
The following is a PBE calculation of AlTlFe3 after structural relaxation, from the Alexandria database.

Cell: 4.849 4.849 4.849 Å, 90.00 90.00 90.00°
Positions (direct):
Al  0.000  0.000  0.000
Tl  0.500  0.500  0.500
Fe  0.000  0.500  0.500
Fe  0.500  0.000  0.500
Fe  0.500  0.500  0.000

Properties
For the magnetic moment, the calculation gives 8.64 μB/f.u. The space group is Pm-3m (221).

#A has the most favorable energy; the next structure is 0.708 eV/atom above.

#A
The following is a PBE calculation of Tm2Al2Fe15 after structural relaxation, from the Alexandria database.

Cell: 6.358 6.358 6.358 Å, 81.70 81.70 81.70°
Positions (direct):
Tm  0.153  0.153  0.153
Tm  0.847  0.847  0.847
Al  0.398  0.398  0.398
Al  0.602  0.602  0.602
Fe  0.000  0.500  0.500
Fe  0.158  0.158  0.660
Fe  0.158  0.660  0.158
Fe  0.196  0.500  0.804
Fe  0.196  0.804  0.500
Fe  0.340  0.842  0.842
Fe  0.500  0.000  0.500
Fe  0.500  0.196  0.804
Fe  0.500  0.500  0.000
Fe  0.500  0.804  0.196
Fe  0.660  0.158  0.158
Fe  0.804  0.196  0.500
Fe  0.804  0.500  0.196
Fe  0.842  0.340  0.842
Fe  0.842  0.842  0.340

Properties
For the magnetic moment, the calculation gives 27.60 μB/f.u. The space group is R-3m (166).

#B
The following is a PBE calculation of Tm2Al2Fe15 after structural relaxation, from the Alexandria database.

Cell: 8.320 8.320 8.367 Å, 90.00 90.00 120.00°
Positions (direct):
Tm  0.000  0.000  0.250
Tm  0.000  0.000  0.750
Tm  0.333  0.667  0.250
Tm  0.667  0.333  0.750
Al  0.333  0.667  0.600
Al  0.333  0.667  0.900
Al  0.667  0.333  0.100
Al  0.667  0.333  0.400
Fe  0.000  0.500  0.000
Fe  0.000  0.500  0.500
Fe  0.031  0.362  0.750
Fe  0.031  0.669  0.750
Fe  0.165  0.330  0.012
Fe  0.165  0.330  0.488
Fe  0.165  0.835  0.012
Fe  0.165  0.835  0.488
Fe  0.330  0.165  0.512
Fe  0.330  0.165  0.988
Fe  0.331  0.362  0.750
Fe  0.331  0.969  0.750
Fe  0.362  0.031  0.250
Fe  0.362  0.331  0.250
Fe  0.500  0.000  0.000
Fe  0.500  0.000  0.500
Fe  0.500  0.500  0.000
Fe  0.500  0.500  0.500
Fe  0.638  0.669  0.750
Fe  0.638  0.969  0.750
Fe  0.669  0.031  0.250
Fe  0.669  0.638  0.250
Fe  0.670  0.835  0.012
Fe  0.670  0.835  0.488
Fe  0.835  0.165  0.512
Fe  0.835  0.165  0.988
Fe  0.835  0.670  0.512
Fe  0.835  0.670  0.988
Fe  0.969  0.331  0.250
Fe  0.969  0.638  0.250

Properties
For the magnetic moment, the calculation gives 28.56 μB/f.u. The space group is P6_3/mmc (194).

#A has the most favorable energy; the next structure is 0.006 eV/atom above.

#A
The following is a PBE calculation of Al2VFe2 after structural relaxation, from the Alexandria database.

Cell: 6.964 6.964 2.670 Å, 90.00 90.00 90.00°
Positions (direct):
Al  0.136  0.364  0.000
Al  0.364  0.864  0.000
Al  0.636  0.136  0.000
Al  0.864  0.636  0.000
V  0.000  0.000  0.000
V  0.500  0.500  0.000
Fe  0.161  0.661  0.500
Fe  0.339  0.161  0.500
Fe  0.661  0.839  0.500
Fe  0.839  0.339  0.500

Properties
For the magnetic moment, the calculation gives 3.41 μB/f.u. The space group is P4/mbm (127).

#B
The following is a PBE calculation of Al2VFe2 after structural relaxation, from the Alexandria database.

Cell: 6.944 6.944 6.944 Å, 145.60 133.68 58.95°
Positions (direct):
Al  0.250  0.000  0.250
Al  0.405  0.655  0.750
Al  0.595  0.345  0.250
Al  0.750  0.000  0.750
V  0.084  0.334  0.750
V  0.916  0.666  0.250
Fe  0.167  0.173  0.994
Fe  0.321  0.827  0.494
Fe  0.679  0.173  0.506
Fe  0.833  0.827  0.006

Properties
For the magnetic moment, the calculation gives 0.00 μB/f.u. The space group is Imma (74).

#B has the most favorable energy; the next structure is 0.144 eV/atom above.

#A
The following is a PBE calculation of AlV6Fe after structural relaxation, from the Alexandria database.

Cell: 4.712 4.712 4.712 Å, 90.00 90.00 90.00°
Positions (direct):
Al  0.000  0.000  0.000
V  0.000  0.257  0.500
V  0.000  0.743  0.500
V  0.257  0.500  0.000
V  0.500  0.000  0.257
V  0.500  0.000  0.743
V  0.743  0.500  0.000
Fe  0.500  0.500  0.500

Properties
For the magnetic moment, the calculation gives 0.00 μB/f.u. The space group is Pm-3 (200).

#B
The following is a PBE calculation of AlV6Fe after structural relaxation, from the Alexandria database.

Cell: 4.169 5.942 8.447 Å, 90.00 90.00 90.00°
Positions (direct):
Al  0.000  0.000  0.000
Al  0.000  0.500  0.500
V  0.000  0.000  0.496
V  0.000  0.247  0.746
V  0.000  0.253  0.246
V  0.000  0.500  0.996
V  0.000  0.747  0.246
V  0.000  0.753  0.746
V  0.500  0.000  0.238
V  0.500  0.236  0.493
V  0.500  0.264  0.993
V  0.500  0.500  0.738
V  0.500  0.736  0.993
V  0.500  0.764  0.493
Fe  0.500  0.000  0.754
Fe  0.500  0.500  0.254

Properties
For the magnetic moment, the calculation gives 0.00 μB/f.u. The space group is Amm2 (38).

#A has the most favorable energy; the next structure is 0.056 eV/atom above.

#A
The following is a PBE calculation of AlFeW3 after structural relaxation, from the Alexandria database.

Cell: 4.469 4.469 4.469 Å, 90.00 90.00 90.00°
Positions (direct):
Al  0.000  0.000  0.000
Fe  0.500  0.500  0.500
W  0.000  0.000  0.500
W  0.000  0.500  0.000
W  0.500  0.000  0.000

Properties
For the magnetic moment, the calculation gives 0.00 μB/f.u. The space group is Pm-3m (221).

#B
The following is a PBE calculation of AlFeW3 after structural relaxation, from the Alexandria database.

Cell: 4.461 4.461 4.461 Å, 90.00 90.00 90.00°
Positions (direct):
Al  0.000  0.000  0.000
Fe  0.500  0.500  0.500
W  0.000  0.500  0.500
W  0.500  0.000  0.500
W  0.500  0.500  0.000

Properties
For the magnetic moment, the calculation gives 0.00 μB/f.u. The space group is Pm-3m (221).

#B has the most favorable energy; the next structure is 0.938 eV/atom above.

#A
The following is a PBE calculation of Y2Al2Fe after structural relaxation, from the Alexandria database.

Cell: 7.019 7.019 4.775 Å, 90.00 90.00 90.00°
Positions (direct):
Y  0.166  0.334  0.000
Y  0.334  0.834  0.000
Y  0.666  0.166  0.000
Y  0.834  0.666  0.000
Al  0.142  0.642  0.500
Al  0.358  0.142  0.500
Al  0.642  0.858  0.500
Al  0.858  0.358  0.500
Fe  0.000  0.000  0.000
Fe  0.500  0.500  0.000

Properties
For the magnetic moment, the calculation gives 0.00 μB/f.u. The space group is P4/mbm (127).

#B
The following is a PBE calculation of Y2Al2Fe after structural relaxation, from the Alexandria database.

Cell: 6.879 6.879 4.617 Å, 90.00 90.00 90.00°
Positions (direct):
Y  0.171  0.329  0.000
Y  0.329  0.829  0.000
Y  0.671  0.171  0.000
Y  0.829  0.671  0.000
Al  0.138  0.638  0.500
Al  0.362  0.138  0.500
Al  0.638  0.862  0.500
Al  0.862  0.362  0.500
Fe  0.000  0.000  0.500
Fe  0.500  0.500  0.500

Properties
For the magnetic moment, the calculation gives 2.68 μB/f.u. The space group is P4/mbm (127).

#C
The following is a PBE calculation of Y2Al2Fe after structural relaxation, from the Alexandria database.

Cell: 3.576 3.576 17.439 Å, 90.00 90.00 90.00°
Positions (direct):
Y  0.000  0.000  0.092
Y  0.000  0.000  0.908
Y  0.500  0.500  0.408
Y  0.500  0.500  0.592
Al  0.000  0.500  0.250
Al  0.000  0.500  0.750
Al  0.500  0.000  0.250
Al  0.500  0.000  0.750
Fe  0.000  0.000  0.500
Fe  0.500  0.500  0.000

Properties
For the magnetic moment, the calculation gives 0.00 μB/f.u. The space group is I4/mmm (139).

#B has the most favorable energy; the next structure is 0.362 eV/atom above.

#A
The following is a PBE calculation of AlZnFe6 after structural relaxation, from the Alexandria database.

Cell: 6.323 6.323 10.283 Å, 90.00 90.00 108.90°
Positions (direct):
Al  0.000  0.000  0.250
Al  0.000  0.000  0.750
Al  0.250  0.750  0.000
Al  0.750  0.250  0.000
Zn  0.250  0.750  0.500
Zn  0.500  0.500  0.250
Zn  0.500  0.500  0.750
Zn  0.750  0.250  0.500
Fe  0.000  0.000  0.000
Fe  0.000  0.000  0.500
Fe  0.124  0.374  0.375
Fe  0.124  0.374  0.625
Fe  0.125  0.375  0.125
Fe  0.125  0.375  0.875
Fe  0.250  0.750  0.250
Fe  0.250  0.750  0.750
Fe  0.374  0.124  0.375
Fe  0.374  0.124  0.625
Fe  0.375  0.125  0.125
Fe  0.375  0.125  0.875
Fe  0.500  0.500  0.000
Fe  0.500  0.500  0.500
Fe  0.625  0.875  0.125
Fe  0.625  0.875  0.875
Fe  0.626  0.876  0.375
Fe  0.626  0.876  0.625
Fe  0.750  0.250  0.250
Fe  0.750  0.250  0.750
Fe  0.875  0.625  0.125
Fe  0.875  0.625  0.875
Fe  0.876  0.626  0.375
Fe  0.876  0.626  0.625

Properties
For the magnetic moment, the calculation gives 14.24 μB/f.u. The space group is Cmmm (65).

#B
The following is a PBE calculation of AlZnFe6 after structural relaxation, from the Alexandria database.

Cell: 4.157 5.440 8.584 Å, 90.00 90.00 90.00°
Positions (direct):
Al  0.000  0.000  0.000
Al  0.000  0.500  0.500
Zn  0.500  0.000  0.696
Zn  0.500  0.500  0.196
Fe  0.000  0.000  0.491
Fe  0.000  0.243  0.250
Fe  0.000  0.257  0.750
Fe  0.000  0.500  0.991
Fe  0.000  0.743  0.750
Fe  0.000  0.757  0.250
Fe  0.500  0.000  0.204
Fe  0.500  0.242  0.446
Fe  0.500  0.258  0.946
Fe  0.500  0.500  0.704
Fe  0.500  0.742  0.946
Fe  0.500  0.758  0.446

Properties
For the magnetic moment, the calculation gives 13.77 μB/f.u. The space group is Amm2 (38).

#A has the most favorable energy; the next structure is 0.010 eV/atom above.

#A
The following is a PBE calculation of Zr4AlFe after structural relaxation, from the Alexandria database.

Cell: 6.589 6.589 5.540 Å, 90.00 90.00 90.00°
Positions (direct):
Zr  0.148  0.318  0.000
Zr  0.148  0.682  0.500
Zr  0.318  0.148  0.500
Zr  0.318  0.852  0.000
Zr  0.682  0.148  0.000
Zr  0.682  0.852  0.500
Zr  0.852  0.318  0.500
Zr  0.852  0.682  0.000
Al  0.500  0.500  0.250
Al  0.500  0.500  0.750
Fe  0.000  0.000  0.250
Fe  0.000  0.000  0.750

Properties
For the magnetic moment, the calculation gives 0.00 μB/f.u. The space group is P4/mcc (124).

#B
The following is a PBE calculation of Zr4AlFe after structural relaxation, from the Alexandria database.

Cell: 5.649 5.649 5.649 Å, 60.00 60.00 60.00°
Positions (direct):
Zr  0.125  0.125  0.125
Zr  0.125  0.125  0.624
Zr  0.125  0.624  0.125
Zr  0.624  0.125  0.125
Al  0.750  0.750  0.750
Fe  0.500  0.500  0.500

Properties
For the magnetic moment, the calculation gives 2.33 μB/f.u. The space group is F-43m (216).

#A has the most favorable energy; the next structure is 0.703 eV/atom above.

#A
The following is a PBE calculation of ZrAl3Fe after structural relaxation, from the Alexandria database.

Cell: 4.427 4.427 4.427 Å, 90.00 90.00 90.00°
Positions (direct):
Zr  0.000  0.000  0.000
Al  0.000  0.500  0.500
Al  0.500  0.000  0.500
Al  0.500  0.500  0.000
Fe  0.500  0.500  0.500

Properties
For the magnetic moment, the calculation gives 0.74 μB/f.u. The space group is Pm-3m (221).

#B
The following is a PBE calculation of ZrAl3Fe after structural relaxation, from the Alexandria database.

Cell: 5.082 5.082 5.082 Å, 90.00 90.00 90.00°
Positions (direct):
Zr  0.000  0.000  0.000
Al  0.000  0.000  0.500
Al  0.000  0.500  0.000
Al  0.500  0.000  0.000
Fe  0.500  0.500  0.500

Properties
For the magnetic moment, the calculation gives 0.15 μB/f.u. The space group is Pm-3m (221).

#A has the most favorable energy; the next structure is 1.726 eV/atom above.

#A
The following is a PBE calculation of ZrAlFe3 after structural relaxation, from the Alexandria database.

Cell: 4.288 4.288 4.288 Å, 90.00 90.00 90.00°
Positions (direct):
Zr  0.000  0.000  0.000
Al  0.500  0.500  0.500
Fe  0.000  0.500  0.500
Fe  0.500  0.000  0.500
Fe  0.500  0.500  0.000

Properties
For the magnetic moment, the calculation gives 4.34 μB/f.u. The space group is Pm-3m (221).

#B
The following is a PBE calculation of ZrAlFe3 after structural relaxation, from the Alexandria database.

Cell: 4.579 4.579 4.579 Å, 90.00 90.00 90.00°
Positions (direct):
Zr  0.000  0.000  0.000
Al  0.500  0.500  0.500
Fe  0.000  0.000  0.500
Fe  0.000  0.500  0.000
Fe  0.500  0.000  0.000

Properties
For the magnetic moment, the calculation gives 5.57 μB/f.u. The space group is Pm-3m (221).

#A has the most favorable energy; the next structure is 0.824 eV/atom above.